[1]
CaMgPa2N4: relaxed, PBE-GGA.

Total moment (μB per atom): 0.0000

a b c (Å): 6.9352 6.9352 6.8873
angles (deg): 119.76 119.76 90.48
Element x y z (fractional)
Ca 0.0000 0.5000 0.0000
Ca 0.0000 0.5000 0.5000
Mg 0.5000 0.5000 0.5000
Mg 0.0000 0.0000 0.0000
Pa 0.5000 0.0000 0.0000
Pa 0.5000 0.0000 0.5000
Pa 0.0000 0.0000 0.5000
Pa 0.5000 0.5000 0.0000
N 0.2769 0.7613 0.0191
N 0.7387 0.2231 0.4809
N 0.2613 0.7769 0.5191
N 0.7231 0.2387 0.9809
N 0.7420 0.7584 0.0052
N 0.7416 0.7580 0.4948
N 0.2584 0.2420 0.5052
N 0.2580 0.2416 0.9948

***

[2]
ReNiP2: relaxed, PBE-GGA.

Polymorph energy (0 for the lowest one) (meV/atom): 157
Calculated formation energy (eV per atom): -0.101
Total moment (μB per atom): 0.0003

a b c (Å): 7.2018 7.2018 7.2018
angles (deg): 23.54 23.54 23.54
Element x y z (fractional)
Ni 0.7500 0.7500 0.7500
P 0.0029 0.0029 0.0029
P 0.4971 0.4971 0.4971
Re 0.2500 0.2500 0.2500

***

[3]
LaNb2Ni2: relaxed, PBE-GGA.

Polymorph energy (0 for the lowest one) (meV/atom): 0
Calculated formation energy (eV per atom): -0.017
Total moment (μB per atom): 0.0000

a b c (Å): 4.1429 4.1429 6.3182
angles (deg): 70.86 70.86 90.00
Element x y z (fractional)
Ni 0.3910 0.3910 0.2179
Ni 0.6090 0.6090 0.7821
Nb 0.7500 0.2500 0.5000
Nb 0.2500 0.7500 0.5000
La 0.0000 0.0000 0.0000

***

Values for uncorrected energy, eV per atom, ordered as above
-8.2572 -7.3632 -7.3433